(1)
The following is a PBE-GGA calculation of a geometry-optimized MnIn3Cu structure, from Alexandria.

It has space group Pm-3m (No. 221), with a = 5.0619 Å, b = 5.0619 Å, c = 5.0619 Å, α = 90.00°, β = 90.00° and γ = 90.00°. The inequivalent atoms are Mn at (0.0000, 0.0000, 0.0000), In at (0.0000, 0.0000, 0.5000) and Cu at (0.5000, 0.5000, 0.5000).

The value obtained for the energy above the most stable polymorph in this dataset is 82 meV/atom. The calculation puts the total magnetization at 2.3 μB per cell. The calculation puts the density of states at the Fermi level at 3.50 states/eV/f.u. The value obtained for the raw total energy is -3.71 eV/atom. The calculation puts the energy of formation at 0.59 eV/atom. The density is 5.93 g cm⁻³.

=====

(2)
The following is a PBE-GGA calculation of a geometry-optimized MnInCu3 structure, from Alexandria.

It has space group Pm-3m (No. 221), with a = 4.6026 Å, b = 4.6026 Å, c = 4.6026 Å, α = 90.00°, β = 90.00° and γ = 90.00°. The inequivalent atoms are Mn at (0.0000, 0.0000, 0.0000), In at (0.5000, 0.5000, 0.5000) and Cu at (0.0000, 0.0000, 0.5000).

The value obtained for the energy above the most stable polymorph in this dataset is 0 meV/atom. The calculation puts the total magnetization at 4.2 μB per cell. The calculation puts the density of states at the Fermi level at 2.93 states/eV/f.u. The value obtained for the raw total energy is -3.99 eV/atom. The calculation puts the energy of formation at 0.85 eV/atom. The density is 6.14 g cm⁻³.

=====

(3)
The following is a PBE-GGA calculation of a geometry-optimized MnInCu2 structure, from Alexandria.

It has space group P4/mmm (No. 123), with a = 4.0017 Å, b = 4.0017 Å, c = 3.7599 Å, α = 90.00°, β = 90.00° and γ = 90.00°. The inequivalent atoms are Mn at (0.0000, 0.0000, 0.0000), In at (0.5000, 0.5000, 0.0000) and Cu at (0.0000, 0.5000, 0.5000).

The calculation puts the total magnetization at 3.5 μB per cell. The calculation puts the density of states at the Fermi level at 2.76 states/eV/f.u. The value obtained for the raw total energy is -4.89 eV/atom. The calculation puts the energy of formation at 0.13 eV/atom. The density is 8.19 g cm⁻³.

=====

(4)
The following is a PBE-GGA calculation of a geometry-optimized MnInCu structure, from Alexandria.

It has space group Amm2 (No. 38), with a = 8.0779 Å, b = 5.1981 Å, c = 9.2041 Å, α = 90.00°, β = 90.00° and γ = 90.00°. The inequivalent atoms are Mn at (0.0000, 0.0000, 0.0000), Mn at (0.0000, 0.2475, 0.7532), Mn at (0.5000, 0.0000, 0.3390), In at (0.1880, 0.0000, 0.5060), In at (0.3097, 0.0000, 0.8342), Cu at (0.2525, 0.0000, 0.1678) and Cu at (0.5000, 0.2455, 0.5854).

The calculation puts the total magnetization at 26.0 μB per cell. The calculation puts the density of states at the Fermi level at 1.96 states/eV/f.u. The value obtained for the raw total energy is -5.15 eV/atom. The calculation puts the energy of formation at 0.19 eV/atom. The density is 8.02 g cm⁻³.

=====

(5)
The following is a PBE-GGA calculation of a geometry-optimized Mn2InCu structure, from Alexandria.

It has space group R-3m (No. 166, hexagonal axes), with a = 2.9865 Å, b = 2.9865 Å, c = 25.5310 Å, α = 90.00°, β = 90.00° and γ = 120.00°. The inequivalent atoms are Mn at (0.0000, 0.0000, 0.2420), In at (0.0000, 0.0000, 0.0000) and Cu at (0.0000, 0.0000, 0.5000).

The calculation puts the total magnetization at 22.0 μB per cell. The calculation puts the density of states at the Fermi level at 3.46 states/eV/f.u. The value obtained for the raw total energy is -5.89 eV/atom. The calculation puts the energy of formation at 0.40 eV/atom. The density is 7.28 g cm⁻³.

=====

(6)
The following is a PBE-GGA calculation of a geometry-optimized Mn2InCu structure, from Alexandria.

It has space group P4/mmm (No. 123), with a = 3.0572 Å, b = 3.0572 Å, c = 6.7429 Å, α = 90.00°, β = 90.00° and γ = 90.00°. The inequivalent atoms are Mn at (0.0000, 0.0000, 0.2152), In at (0.5000, 0.5000, 0.5000) and Cu at (0.5000, 0.5000, 0.0000).

The calculation puts the total magnetization at 7.4 μB per cell. The calculation puts the density of states at the Fermi level at 4.10 states/eV/f.u. The value obtained for the raw total energy is -6.06 eV/atom. The calculation puts the energy of formation at 0.23 eV/atom. The density is 7.59 g cm⁻³.

=====

(7)
The following is a PBE-GGA calculation of a geometry-optimized MnInCu2 structure, from Alexandria.

It has space group C2/m (No. 12), with a = 8.7933 Å, b = 2.9156 Å, c = 4.8464 Å, α = 90.00°, β = 100.99° and γ = 90.00°. The inequivalent atoms are Mn at (0.0000, 0.0000, 0.0000), In at (0.0000, 0.5000, 0.5000) and Cu at (0.2435, 0.5000, 0.2177).

The calculation puts the total magnetization at 6.9 μB per cell. The calculation puts the density of states at the Fermi level at 1.96 states/eV/f.u. The value obtained for the raw total energy is -4.86 eV/atom. The calculation puts the energy of formation at 0.16 eV/atom. The density is 8.08 g cm⁻³.

=====

(8)
The following is a PBE-GGA calculation of a geometry-optimized MnIn2Cu structure, from Alexandria.

It has space group Cmmm (No. 65), with a = 6.3015 Å, b = 7.0551 Å, c = 3.1598 Å, α = 90.00°, β = 90.00° and γ = 90.00°. The inequivalent atoms are Mn at (0.0000, 0.0000, 0.0000), In at (0.2500, 0.2500, 0.5000) and Cu at (0.0000, 0.5000, 0.0000).

The calculation puts the total magnetization at 6.1 μB per cell. The calculation puts the density of states at the Fermi level at 1.55 states/eV/f.u. The value obtained for the raw total energy is -4.52 eV/atom. The calculation puts the energy of formation at 0.17 eV/atom. The density is 8.23 g cm⁻³.

=====

(9)
The following is a PBE-GGA calculation of a geometry-optimized Mn2InCu structure, from Alexandria.

It has space group Cm (No. 8), with a = 9.9928 Å, b = 3.1531 Å, c = 4.4268 Å, α = 90.00°, β = 116.13° and γ = 90.00°. The inequivalent atoms are Mn at (0.0000, 0.0000, 0.0000), Mn at (0.2443, 0.0000, 0.7448), In at (0.4746, 0.0000, 0.4749) and Cu at (0.2299, 0.5000, 0.2297).

The calculation puts the total magnetization at 14.1 μB per cell. The calculation puts the density of states at the Fermi level at 2.85 states/eV/f.u. The value obtained for the raw total energy is -6.03 eV/atom. The calculation puts the energy of formation at 0.26 eV/atom. The density is 7.64 g cm⁻³.

=====

(10)
The following is a PBE-GGA calculation of a geometry-optimized MnInCu structure, from Alexandria.

It has space group Amm2 (No. 38), with a = 7.9509 Å, b = 5.4587 Å, c = 9.6666 Å, α = 90.00°, β = 90.00° and γ = 90.00°. The inequivalent atoms are Mn at (0.1733, 0.0000, 0.0000), Mn at (0.2928, 0.0000, 0.6906), In at (0.0000, 0.0000, 0.5063), In at (0.5000, 0.0000, 0.1563), In at (0.5000, 0.2500, 0.4134), Cu at (0.0000, 0.2255, 0.7548) and Cu at (0.2331, 0.0000, 0.3078).

The calculation puts the total magnetization at 30.9 μB per cell. The calculation puts the density of states at the Fermi level at 2.00 states/eV/f.u. The value obtained for the raw total energy is -4.95 eV/atom. The calculation puts the energy of formation at 0.38 eV/atom. The density is 7.39 g cm⁻³.

=====

(11)
The following is a PBE-GGA calculation of a geometry-optimized MnInCu2 structure, from Alexandria.

It has space group I-42d (No. 122), with a = 3.7871 Å, b = 3.7871 Å, c = 18.3767 Å, α = 90.00°, β = 90.00° and γ = 90.00°. The inequivalent atoms are Mn at (0.0000, 0.0000, 0.0000), In at (0.0000, 0.0000, 0.5000) and Cu at (0.2350, 0.2500, 0.1250).

The calculation puts the total magnetization at 13.0 μB per cell. The calculation puts the density of states at the Fermi level at 1.46 states/eV/f.u. The value obtained for the raw total energy is -4.61 eV/atom. The calculation puts the energy of formation at 0.42 eV/atom. The density is 7.48 g cm⁻³.

=====

(12)
The following is a PBE-GGA calculation of a geometry-optimized Mn2InCu structure, from Alexandria.

It has space group P4mm (No. 99), with a = 3.1042 Å, b = 3.1042 Å, c = 6.2251 Å, α = 90.00°, β = 90.00° and γ = 90.00°. The inequivalent atoms are Mn at (0.0000, 0.0000, 0.0000), Mn at (0.5000, 0.5000, 0.1962), In at (0.5000, 0.5000, 0.7020) and Cu at (0.0000, 0.0000, 0.4220).

The calculation puts the total magnetization at 0.5 μB per cell. The calculation puts the density of states at the Fermi level at 2.50 states/eV/f.u. The value obtained for the raw total energy is -6.16 eV/atom. The calculation puts the energy of formation at 0.13 eV/atom. The density is 7.98 g cm⁻³.

=====

(13)
The following is a PBE-GGA calculation of a geometry-optimized MnInCu2 structure, from Alexandria.

It has space group R-3m (No. 166, hexagonal axes), with a = 3.0137 Å, b = 3.0137 Å, c = 24.6027 Å, α = 90.00°, β = 90.00° and γ = 120.00°. The inequivalent atoms are Mn at (0.0000, 0.0000, 0.0000), In at (0.0000, 0.0000, 0.5000) and Cu at (0.0000, 0.0000, 0.2558).

The calculation puts the total magnetization at 11.8 μB per cell. The calculation puts the density of states at the Fermi level at 2.39 states/eV/f.u. The value obtained for the raw total energy is -4.70 eV/atom. The calculation puts the energy of formation at 0.33 eV/atom. The density is 7.64 g cm⁻³.

=====

(14)
The following is a PBE-GGA calculation of a geometry-optimized Mn2InCu structure, from Alexandria.

It has space group R3m (No. 160, hexagonal axes), with a = 2.8854 Å, b = 2.8854 Å, c = 26.1515 Å, α = 90.00°, β = 90.00° and γ = 120.00°. The inequivalent atoms are Mn at (0.0000, 0.0000, 0.0000), Mn at (0.0000, 0.0000, 0.2551), In at (0.0000, 0.0000, 0.4991) and Cu at (0.0000, 0.0000, 0.7439).

The calculation puts the total magnetization at 19.0 μB per cell. The calculation puts the density of states at the Fermi level at 2.01 states/eV/f.u. The value obtained for the raw total energy is -5.89 eV/atom. The calculation puts the energy of formation at 0.40 eV/atom. The density is 7.61 g cm⁻³.

=====

(15)
The following is a PBE-GGA calculation of a geometry-optimized MnInCu structure, from Alexandria.

It has space group I4mm (No. 107), with a = 3.0613 Å, b = 3.0613 Å, c = 10.3760 Å, α = 90.00°, β = 90.00° and γ = 90.00°. The inequivalent atoms are Mn at (0.0000, 0.0000, 0.0000), In at (0.0000, 0.0000, 0.6866) and Cu at (0.0000, 0.0000, 0.3611).

The calculation puts the total magnetization at 7.2 μB per cell. The calculation puts the density of states at the Fermi level at 1.44 states/eV/f.u. The value obtained for the raw total energy is -5.16 eV/atom. The calculation puts the energy of formation at 0.17 eV/atom. The density is 7.97 g cm⁻³.

=====

(16)
The following is a PBE-GGA calculation of a geometry-optimized MnInCu structure, from Alexandria.

It has space group P3m1 (No. 156), with a = 4.4476 Å, b = 4.4476 Å, c = 2.8677 Å, α = 90.00°, β = 90.00° and γ = 120.00°. The inequivalent atoms are Mn at (0.0000, 0.0000, 0.0000), In at (0.3333, 0.6667, 0.5241) and Cu at (0.6667, 0.3333, 0.4403).

The calculation puts the total magnetization at 3.5 μB per cell. The calculation puts the density of states at the Fermi level at 1.50 states/eV/f.u. The value obtained for the raw total energy is -5.13 eV/atom. The calculation puts the energy of formation at 0.21 eV/atom. The density is 7.89 g cm⁻³.

=====

(17)
The following is a PBE-GGA calculation of a geometry-optimized MnIn2Cu structure, from Alexandria.

It has space group R-3m (No. 166, hexagonal axes), with a = 3.1555 Å, b = 3.1555 Å, c = 26.1418 Å, α = 90.00°, β = 90.00° and γ = 120.00°. The inequivalent atoms are Mn at (0.0000, 0.0000, 0.0000), In at (0.0000, 0.0000, 0.2469) and Cu at (0.0000, 0.0000, 0.5000).

The calculation puts the total magnetization at 11.3 μB per cell. The calculation puts the density of states at the Fermi level at 3.23 states/eV/f.u. The value obtained for the raw total energy is -4.41 eV/atom. The calculation puts the energy of formation at 0.28 eV/atom. The density is 7.69 g cm⁻³.

=====

(18)
The following is a PBE-GGA calculation of a geometry-optimized MnInCu2 structure, from Alexandria.

It has space group P4mm (No. 99), with a = 3.0879 Å, b = 3.0879 Å, c = 6.3615 Å, α = 90.00°, β = 90.00° and γ = 90.00°. The inequivalent atoms are Mn at (0.0000, 0.0000, 0.0000), In at (0.5000, 0.5000, 0.7011), Cu at (0.0000, 0.0000, 0.4239) and Cu at (0.5000, 0.5000, 0.2208).

The calculation puts the total magnetization at 3.7 μB per cell. The calculation puts the density of states at the Fermi level at 2.29 states/eV/f.u. The value obtained for the raw total energy is -4.88 eV/atom. The calculation puts the energy of formation at 0.14 eV/atom. The density is 8.13 g cm⁻³.

=====

(19)
The following is a PBE-GGA calculation of a geometry-optimized MnInCu2 structure, from Alexandria.

It has space group Cm (No. 8), with a = 9.3805 Å, b = 3.3803 Å, c = 4.2966 Å, α = 90.00°, β = 117.09° and γ = 90.00°. The inequivalent atoms are Mn at (0.0000, 0.0000, 0.0000), In at (0.2306, 0.0000, 0.7303), Cu at (0.2491, 0.5000, 0.2486) and Cu at (0.4757, 0.0000, 0.4745).

The calculation puts the total magnetization at 7.7 μB per cell. The calculation puts the density of states at the Fermi level at 1.54 states/eV/f.u. The value obtained for the raw total energy is -4.88 eV/atom. The calculation puts the energy of formation at 0.15 eV/atom. The density is 8.13 g cm⁻³.

=====

(20)
The following is a PBE-GGA calculation of a geometry-optimized MnInCu2 structure, from Alexandria.

It has space group Pm (No. 6), with a = 2.9096 Å, b = 4.1836 Å, c = 5.2464 Å, α = 90.00°, β = 105.75° and γ = 90.00°. The inequivalent atoms are Mn at (0.0000, 0.0000, 0.0000), In at (0.3272, 0.5000, 0.6591), Cu at (0.5877, 0.5000, 0.1782) and Cu at (0.7197, 0.0000, 0.4440).

The calculation puts the total magnetization at 3.8 μB per cell. The calculation puts the density of states at the Fermi level at 1.51 states/eV/f.u. The value obtained for the raw total energy is -4.88 eV/atom. The calculation puts the energy of formation at 0.15 eV/atom. The density is 8.02 g cm⁻³.